# 1
First-principles (SCAN) data for BaYIn2 at its PBEsol-relaxed geometry, as listed in the Alexandria database.

POSCAR file:
```
BaYIn2
1.0
5.713 0.000 0.000
0.000 5.713 0.000
0.000 0.000 3.719
Ba Y In
1 1 2
Cartesian
0.000 0.000 0.000 Ba
2.857 2.857 0.000 Y
0.000 2.857 1.860 In
2.857 0.000 1.860 In
```

## Properties
space group: P4/mmm, No. 123


# 2
First-principles (SCAN) data for BaYZnIn2 at its PBEsol-relaxed geometry, as listed in the Alexandria database.

POSCAR file:
```
BaYZnIn2
1.0
5.707 0.000 0.000
0.000 5.707 0.000
0.000 0.000 6.340
Ba Y Zn In
1 1 1 2
Cartesian
0.000 0.000 0.000 Ba
0.000 0.000 3.170 Y
2.853 2.853 0.000 Zn
0.000 2.853 3.170 In
2.853 0.000 3.170 In
```

## Properties
space group: P4/mmm, No. 123


DFT formation energy for every record listed, in sequence, given in meV per atom: -433; 613.
Magnetization for every record listed, in sequence, given in μB/atom: 0.00; 0.34.